# 1
A plane-wave DFT calculation with GGA-PBE was carried out for a relaxed Li2MnAl crystal.

Cell: 2.663 4.379 5.306 Å, 90.00 90.00 90.00°
Positions (direct):
Li  0.000  0.000  0.248
Li  0.000  0.000  0.752
Mn  0.500  0.500  0.500
Al  0.500  0.500  0.000

**N(E_F)**: 0.537 states/eV per atom
**Total energy**: -4.05 eV/atom

***

# 2
A plane-wave DFT calculation with GGA-PBE was carried out for a relaxed LiMnAl crystal.

Cell: 2.788 2.788 11.236 Å, 90.00 90.00 90.00°
Positions (direct):
Li  0.000  0.000  0.000
Li  0.500  0.500  0.500
Mn  0.000  0.000  0.326
Mn  0.500  0.500  0.826
Al  0.000  0.000  0.679
Al  0.500  0.500  0.179

**N(E_F)**: 0.529 states/eV per atom
**Total energy**: -4.91 eV/atom
**E above lowest polymorph**: 21.6 kJ per mole of atoms

***

# 3
A plane-wave DFT calculation with GGA-PBE was carried out for a relaxed LiMnAl crystal.

Cell: 2.793 2.793 10.650 Å, 90.00 90.00 90.00°
Positions (direct):
Li  0.250  0.250  0.102
Li  0.750  0.750  0.898
Mn  0.250  0.250  0.441
Mn  0.750  0.750  0.559
Al  0.250  0.250  0.714
Al  0.750  0.750  0.286

**N(E_F)**: 0.513 states/eV per atom
**Total energy**: -5.13 eV/atom
**E above lowest polymorph**: 0.0 kJ per mole of atoms

***

# 4
A plane-wave DFT calculation with GGA-PBE was carried out for a relaxed Li2MnAl crystal.

Cell: 2.815 2.815 7.947 Å, 90.00 90.00 90.00°
Positions (direct):
Li  0.000  0.000  0.000
Li  0.500  0.500  0.285
Mn  0.000  0.000  0.535
Al  0.500  0.500  0.748

**N(E_F)**: 0.626 states/eV per atom
**Total energy**: -4.16 eV/atom

***

# 5
A plane-wave DFT calculation with GGA-PBE was carried out for a relaxed Li2MnAl crystal.

Cell: 2.677 4.112 5.667 Å, 90.00 98.69 90.00°
Positions (direct):
Li  0.000  0.000  0.000
Li  0.463  0.500  0.250
Mn  0.936  0.000  0.528
Al  0.476  0.500  0.721

**N(E_F)**: 0.429 states/eV per atom
**Total energy**: -4.14 eV/atom

***

# 6
A plane-wave DFT calculation with GGA-PBE was carried out for a relaxed Li2MnAl crystal.

Cell: 9.036 2.720 5.135 Å, 90.00 96.42 90.00°
Positions (direct):
Li  0.000  0.000  0.000
Li  0.241  0.000  0.762
Li  0.500  0.500  0.000
Li  0.741  0.500  0.762
Mn  0.486  0.000  0.479
Mn  0.986  0.500  0.479
Al  0.247  0.500  0.276
Al  0.747  0.000  0.276

**N(E_F)**: 0.543 states/eV per atom
**Total energy**: -4.10 eV/atom

***

# 7
A plane-wave DFT calculation with GGA-PBE was carried out for a relaxed Li2MnAl crystal.

Cell: 9.486 2.732 4.658 Å, 90.00 97.71 90.00°
Positions (direct):
Li  0.248  0.000  0.252
Li  0.252  0.500  0.748
Li  0.748  0.500  0.252
Li  0.752  0.000  0.748
Mn  0.000  0.000  0.500
Mn  0.500  0.500  0.500
Al  0.000  0.500  0.000
Al  0.500  0.000  0.000

**N(E_F)**: 0.498 states/eV per atom
**Total energy**: -4.15 eV/atom

***

# 8
A plane-wave DFT calculation with GGA-PBE was carried out for a relaxed Li2MnAl crystal.

Cell: 3.110 4.090 8.845 Å, 90.00 90.00 90.00°
Positions (direct):
Li  0.000  0.000  0.000
Li  0.000  0.500  0.291
Li  0.500  0.000  0.291
Li  0.500  0.500  0.000
Mn  0.000  0.500  0.764
Mn  0.500  0.000  0.764
Al  0.000  0.000  0.543
Al  0.500  0.500  0.543

**N(E_F)**: 0.443 states/eV per atom
**Total energy**: -4.06 eV/atom

***

# 9
A plane-wave DFT calculation with GGA-PBE was carried out for a relaxed Li2MnAl crystal.

Cell: 2.860 4.415 9.418 Å, 90.00 90.00 90.00°
Positions (direct):
Li  0.000  0.000  0.247
Li  0.000  0.000  0.753
Li  0.500  0.500  0.253
Li  0.500  0.500  0.747
Mn  0.000  0.500  0.000
Mn  0.500  0.000  0.500
Al  0.000  0.500  0.500
Al  0.500  0.000  0.000

**N(E_F)**: 0.653 states/eV per atom
**Total energy**: -4.14 eV/atom

***

# 10
A plane-wave DFT calculation with GGA-PBE was carried out for a relaxed Li2MnAl crystal.

Cell: 2.713 4.719 4.689 Å, 90.00 94.19 90.00°
Positions (direct):
Li  0.248  0.000  0.253
Li  0.752  0.000  0.747
Mn  0.000  0.500  0.500
Al  0.500  0.500  0.000

**N(E_F)**: 0.596 states/eV per atom
**Total energy**: -4.14 eV/atom

***

# 11
A plane-wave DFT calculation with GGA-PBE was carried out for a relaxed LiMnAl crystal.

Cell: 6.023 6.023 6.023 Å, 90.00 90.00 90.00°
Positions (direct):
Li  0.000  0.000  0.000
Li  0.000  0.500  0.500
Li  0.500  0.000  0.500
Li  0.500  0.500  0.000
Mn  0.000  0.000  0.500
Mn  0.000  0.500  0.000
Mn  0.500  0.000  0.000
Mn  0.500  0.500  0.500
Al  0.250  0.250  0.750
Al  0.250  0.750  0.250
Al  0.750  0.250  0.250
Al  0.750  0.750  0.750

**N(E_F)**: 0.519 states/eV per atom
**Total energy**: -4.52 eV/atom
**E above lowest polymorph**: 59.0 kJ per mole of atoms

***

# 12
A plane-wave DFT calculation with GGA-PBE was carried out for a relaxed LiMnAl3 crystal.

Cell: 4.369 4.321 7.846 Å, 90.00 106.05 90.00°
Positions (direct):
Li  0.156  0.250  0.311
Li  0.844  0.750  0.689
Mn  0.353  0.250  0.705
Mn  0.647  0.750  0.295
Al  0.061  0.750  0.121
Al  0.249  0.750  0.499
Al  0.446  0.750  0.893
Al  0.554  0.250  0.107
Al  0.751  0.250  0.501
Al  0.939  0.250  0.879

**N(E_F)**: 0.532 states/eV per atom
**Total energy**: -4.60 eV/atom
**E above lowest polymorph**: 0.0 kJ per mole of atoms

***

# 13
A plane-wave DFT calculation with GGA-PBE was carried out for a relaxed LiMnAl11 crystal.

Cell: 6.971 6.971 6.937 Å, 97.61 97.61 136.58°
Positions (direct):
Li  0.000  0.000  0.000
Mn  0.500  0.500  0.500
Al  0.000  0.000  0.500
Al  0.000  0.500  0.000
Al  0.021  0.360  0.361
Al  0.301  0.510  0.782
Al  0.360  0.021  0.361
Al  0.490  0.699  0.218
Al  0.500  0.000  0.000
Al  0.510  0.301  0.782
Al  0.640  0.979  0.639
Al  0.699  0.490  0.218
Al  0.979  0.640  0.639

**N(E_F)**: 0.456 states/eV per atom
**Total energy**: -4.05 eV/atom

***

# 14
A plane-wave DFT calculation with GGA-PBE was carried out for a relaxed LiMnAl4 crystal.

Cell: 6.649 6.649 4.898 Å, 101.25 101.25 114.87°
Positions (direct):
Li  0.099  0.901  0.750
Li  0.901  0.099  0.250
Mn  0.498  0.502  0.250
Mn  0.502  0.498  0.750
Al  0.109  0.315  0.851
Al  0.206  0.572  0.445
Al  0.315  0.109  0.351
Al  0.428  0.794  0.055
Al  0.572  0.206  0.945
Al  0.685  0.891  0.649
Al  0.794  0.428  0.555
Al  0.891  0.685  0.149

**N(E_F)**: 0.542 states/eV per atom
**Total energy**: -4.44 eV/atom
**E above lowest polymorph**: 2.1 kJ per mole of atoms

***

# 15
A plane-wave DFT calculation with GGA-PBE was carried out for a relaxed LiMn2Al2 crystal.

Cell: 7.311 7.311 2.803 Å, 90.00 90.00 90.00°
Positions (direct):
Li  0.000  0.000  0.000
Li  0.500  0.500  0.000
Mn  0.162  0.338  0.500
Mn  0.338  0.838  0.500
Mn  0.662  0.162  0.500
Mn  0.838  0.662  0.500
Al  0.134  0.634  0.000
Al  0.366  0.134  0.000
Al  0.634  0.866  0.000
Al  0.866  0.366  0.000

**N(E_F)**: 0.720 states/eV per atom
**Total energy**: -5.60 eV/atom
**E above lowest polymorph**: 0.0 kJ per mole of atoms

***

# 16
A plane-wave DFT calculation with GGA-PBE was carried out for a relaxed LiMn2Al8 crystal.

Cell: 5.060 5.060 6.628 Å, 100.54 100.54 98.68°
Positions (direct):
Li  0.000  0.000  0.000
Mn  0.519  0.519  0.584
Mn  0.771  0.771  0.269
Al  0.039  0.666  0.596
Al  0.146  0.146  0.412
Al  0.259  0.638  0.253
Al  0.292  0.292  0.836
Al  0.481  0.831  0.925
Al  0.638  0.259  0.253
Al  0.666  0.039  0.596
Al  0.831  0.481  0.925

**N(E_F)**: 0.514 states/eV per atom
**Total energy**: -4.77 eV/atom

***

# 17
A plane-wave DFT calculation with GGA-PBE was carried out for a relaxed Li3MnAl crystal.

Cell: 4.726 4.726 4.726 Å, 90.00 90.00 90.00°
Positions (direct):
Li  0.000  0.000  0.500
Li  0.000  0.500  0.000
Li  0.500  0.000  0.000
Mn  0.000  0.000  0.000
Al  0.500  0.500  0.500

**N(E_F)**: 0.662 states/eV per atom
**Total energy**: -2.95 eV/atom
**E above lowest polymorph**: 0.0 kJ per mole of atoms

***

# 18
A plane-wave DFT calculation with GGA-PBE was carried out for a relaxed Li2MnAl crystal.

Cell: 3.755 3.755 8.718 Å, 90.00 90.00 90.00°
Positions (direct):
Li  0.000  0.500  0.250
Li  0.000  0.500  0.750
Li  0.500  0.000  0.250
Li  0.500  0.000  0.750
Mn  0.000  0.000  0.000
Mn  0.500  0.500  0.500
Al  0.000  0.000  0.500
Al  0.500  0.500  0.000

**N(E_F)**: 0.495 states/eV per atom
**Total energy**: -4.11 eV/atom

***

# 19
A plane-wave DFT calculation with GGA-PBE was carried out for a relaxed LiMnAlMo crystal.

Cell: 5.933 5.933 5.933 Å, 90.00 90.00 90.00°
Positions (direct):
Li  0.000  0.000  0.000
Li  0.000  0.500  0.500
Li  0.500  0.000  0.500
Li  0.500  0.500  0.000
Mn  0.000  0.000  0.500
Mn  0.000  0.500  0.000
Mn  0.500  0.000  0.000
Mn  0.500  0.500  0.500
Al  0.250  0.250  0.250
Al  0.250  0.750  0.750
Al  0.750  0.250  0.750
Al  0.750  0.750  0.250
Mo  0.250  0.250  0.750
Mo  0.250  0.750  0.250
Mo  0.750  0.250  0.250
Mo  0.750  0.750  0.750

**N(E_F)**: 0.338 states/eV per atom
**Total energy**: -6.49 eV/atom

***

# 20
A plane-wave DFT calculation with GGA-PBE was carried out for a relaxed LiMnAl2N crystal.

Cell: 4.674 4.674 4.746 Å, 90.00 90.00 90.00°
Positions (direct):
Li  0.000  0.000  0.000
Mn  0.000  0.000  0.500
Al  0.000  0.500  0.500
Al  0.500  0.000  0.500
N  0.500  0.500  0.000

**N(E_F)**: 0.538 states/eV per atom
**Total energy**: -3.97 eV/atom
**Formation energy (no corrections)**: 1410 meV/atom

***

# 21
A plane-wave DFT calculation with GGA-PBE was carried out for a relaxed Na2LiMnAl crystal.

Cell: 5.622 5.622 4.861 Å, 90.00 90.00 90.00°
Positions (direct):
Na  0.000  0.500  0.000
Na  0.500  0.000  0.000
Li  0.000  0.000  0.500
Mn  0.500  0.500  0.000
Al  0.500  0.500  0.500

**N(E_F)**: 0.546 states/eV per atom
**Total energy**: -2.89 eV/atom

***

# 22
A plane-wave DFT calculation with GGA-PBE was carried out for a relaxed LiPaMnAl crystal.

Cell: 6.400 6.400 6.400 Å, 90.00 90.00 90.00°
Positions (direct):
Li  0.000  0.000  0.000
Li  0.000  0.500  0.500
Li  0.500  0.000  0.500
Li  0.500  0.500  0.000
Pa  0.250  0.250  0.750
Pa  0.250  0.750  0.250
Pa  0.750  0.250  0.250
Pa  0.750  0.750  0.750
Mn  0.000  0.000  0.500
Mn  0.000  0.500  0.000
Mn  0.500  0.000  0.000
Mn  0.500  0.500  0.500
Al  0.250  0.250  0.250
Al  0.250  0.750  0.750
Al  0.750  0.250  0.750
Al  0.750  0.750  0.250

**N(E_F)**: 0.591 states/eV per atom
**Total energy**: -6.11 eV/atom

***

# 23
A plane-wave DFT calculation with GGA-PBE was carried out for a relaxed LiPmMnAl crystal.

Cell: 6.769 6.769 6.769 Å, 90.00 90.00 90.00°
Positions (direct):
Li  0.000  0.000  0.000
Li  0.000  0.500  0.500
Li  0.500  0.000  0.500
Li  0.500  0.500  0.000
Pm  0.250  0.250  0.250
Pm  0.250  0.750  0.750
Pm  0.750  0.250  0.750
Pm  0.750  0.750  0.250
Mn  0.000  0.000  0.500
Mn  0.000  0.500  0.000
Mn  0.500  0.000  0.000
Mn  0.500  0.500  0.500
Al  0.250  0.250  0.750
Al  0.250  0.750  0.250
Al  0.750  0.250  0.250
Al  0.750  0.750  0.750

**N(E_F)**: 0.892 states/eV per atom
**Total energy**: -4.91 eV/atom

***

# 24
A plane-wave DFT calculation with GGA-PBE was carried out for a relaxed LiMnAlRe crystal.

Cell: 5.826 5.826 5.826 Å, 90.00 90.00 90.00°
Positions (direct):
Li  0.000  0.000  0.000
Li  0.000  0.500  0.500
Li  0.500  0.000  0.500
Li  0.500  0.500  0.000
Mn  0.000  0.000  0.500
Mn  0.000  0.500  0.000
Mn  0.500  0.000  0.000
Mn  0.500  0.500  0.500
Al  0.250  0.250  0.750
Al  0.250  0.750  0.250
Al  0.750  0.250  0.250
Al  0.750  0.750  0.750
Re  0.250  0.250  0.250
Re  0.250  0.750  0.750
Re  0.750  0.250  0.750
Re  0.750  0.750  0.250

**N(E_F)**: 0.094 states/eV per atom
**Total energy**: -6.97 eV/atom

***

# 25
A plane-wave DFT calculation with GGA-PBE was carried out for a relaxed LiMnAlRh crystal.

Cell: 6.019 6.019 6.019 Å, 90.00 90.00 90.00°
Positions (direct):
Li  0.000  0.000  0.000
Li  0.000  0.500  0.500
Li  0.500  0.000  0.500
Li  0.500  0.500  0.000
Mn  0.250  0.250  0.250
Mn  0.250  0.750  0.750
Mn  0.750  0.250  0.750
Mn  0.750  0.750  0.250
Al  0.250  0.250  0.750
Al  0.250  0.750  0.250
Al  0.750  0.250  0.250
Al  0.750  0.750  0.750
Rh  0.000  0.000  0.500
Rh  0.000  0.500  0.000
Rh  0.500  0.000  0.000
Rh  0.500  0.500  0.500

**N(E_F)**: 0.750 states/eV per atom
**Total energy**: -5.94 eV/atom

***

# 26
A plane-wave DFT calculation with GGA-PBE was carried out for a relaxed LiSc2Mn2Al5 crystal.

Cell: 9.096 9.096 4.098 Å, 90.00 90.00 90.00°
Positions (direct):
Li  0.000  0.000  0.000
Li  0.500  0.500  0.000
Sc  0.180  0.320  0.000
Sc  0.320  0.820  0.000
Sc  0.680  0.180  0.000
Sc  0.820  0.680  0.000
Mn  0.113  0.613  0.000
Mn  0.387  0.113  0.000
Mn  0.613  0.887  0.000
Mn  0.887  0.387  0.000
Al  0.000  0.500  0.500
Al  0.066  0.789  0.500
Al  0.211  0.066  0.500
Al  0.289  0.566  0.500
Al  0.434  0.289  0.500
Al  0.500  0.000  0.500
Al  0.566  0.711  0.500
Al  0.711  0.434  0.500
Al  0.789  0.934  0.500
Al  0.934  0.211  0.500

**N(E_F)**: 0.571 states/eV per atom
**Total energy**: -5.44 eV/atom

***

# 27
A plane-wave DFT calculation with GGA-PBE was carried out for a relaxed LiScMnAl crystal.

Cell: 6.418 6.418 6.418 Å, 90.00 90.00 90.00°
Positions (direct):
Li  0.000  0.000  0.000
Li  0.000  0.500  0.500
Li  0.500  0.000  0.500
Li  0.500  0.500  0.000
Sc  0.250  0.250  0.250
Sc  0.250  0.750  0.750
Sc  0.750  0.250  0.750
Sc  0.750  0.750  0.250
Mn  0.000  0.000  0.500
Mn  0.000  0.500  0.000
Mn  0.500  0.000  0.000
Mn  0.500  0.500  0.500
Al  0.250  0.250  0.750
Al  0.250  0.750  0.250
Al  0.750  0.250  0.250
Al  0.750  0.750  0.750

**N(E_F)**: 1.042 states/eV per atom
**Total energy**: -5.37 eV/atom